Cs2TbCr3F12, optimized geometry, DFT GGA+U; VASP energy = -5.872 eV/atom; total magnetization = 0.611 μB/atom
1.0
7.710 -0.043 -0.030
3.770 6.725 -0.030
3.770 2.195 6.357
Cs Tb Cr F
2 1 3 12
Cartesian
9.309 5.419 3.843
5.942 3.459 2.453
0.000 0.000 0.000
3.855 -0.021 -0.015
1.885 3.363 -0.015
1.885 1.097 3.179
7.038 4.097 5.858
11.860 6.904 2.098
9.564 8.208 5.822
9.460 2.721 1.930
11.860 4.262 5.822
7.038 6.883 1.930
8.213 4.781 0.439
3.390 1.973 4.198
5.687 0.669 0.475
5.790 6.157 4.367
3.390 4.615 0.475
8.213 1.995 4.367